A relaxed structure of NaCa2Hg2. Source: Alexandria, functional PBE-GGA.

energy of formation: -0.329 eV per atom
excess energy over the best structure of this formula in the dataset: 78.5 meV/atom
density: 5592 kg/m³

Unit cell a=8.9966 b=8.9966 c=3.7003 alpha=90.00 beta=90.00 gamma=90.00
Last column: nearest neighbours and their distance in Å.
Fractional coordinates of all 10 atoms:
Na (0.0000, 0.0000, 0.0000)  4 Ca 3.47, 2 Na 3.70, 8 Hg 3.87
Na (0.5000, 0.5000, 0.0000)  4 Ca 3.47, 2 Na 3.70, 8 Hg 3.87
Ca (0.3591, 0.8591, 0.0000)  6 Hg 3.19-3.24, 2 Na 3.47
Ca (0.8591, 0.6409, 0.0000)  6 Hg 3.19-3.24, 2 Na 3.47
Ca (0.6409, 0.1409, 0.0000)  6 Hg 3.19-3.24, 2 Na 3.47
Ca (0.1409, 0.3591, 0.0000)  6 Hg 3.19-3.24, 2 Na 3.47
Hg (0.1547, 0.6547, 0.5000)  6 Ca 3.19-3.24
Hg (0.6547, 0.8453, 0.5000)  6 Ca 3.19-3.24
Hg (0.8453, 0.3453, 0.5000)  6 Ca 3.19-3.24
Hg (0.3453, 0.1547, 0.5000)  6 Ca 3.19-3.24



A relaxed structure of Tl2POs. Source: Alexandria, functional PBE-GGA.

energy of formation: 1.044 eV per atom
excess energy over the best structure of this formula in the dataset: 886.2 meV/atom
density: 12892 kg/m³

Unit cell a=9.9593 b=9.9593 c=9.9593 alpha=17.86 beta=17.86 gamma=17.86
Last column: nearest neighbours and their distance in Å.
Fractional coordinates of all 4 atoms:
Tl (0.7543, 0.7543, 0.7543)  3 Os 2.93, 6 Tl 3.09, 3 P 3.13
Tl (0.2457, 0.2457, 0.2457)  3 Os 2.93, 6 Tl 3.09, 3 P 3.13
P (0.0000, 0.0000, 0.0000)  6 P 3.09, 6 Tl 3.13
Os (0.5000, 0.5000, 0.5000)  6 Tl 2.93, 6 Os 3.09



A relaxed structure of CuNi2Rh. Source: Alexandria, functional PBE-GGA.

energy of formation: 0.068 eV per atom
density: 9677 kg/m³

Unit cell a=4.4605 b=4.4605 c=4.4174 alpha=79.50 beta=79.50 gamma=34.37
Last column: nearest neighbours and their distance in Å.
Fractional coordinates of all 4 atoms:
Ni (0.9994, 0.9994, 0.0028)  6 Ni 2.55-2.64, 3 Cu 2.56-2.58, 3 Rh 2.58
Ni (0.5006, 0.5006, 0.4972)  6 Ni 2.55-2.64, 3 Cu 2.56-2.58, 3 Rh 2.58
Rh (0.7500, 0.7500, 0.7500)  4 Cu 2.57, 6 Ni 2.58, 2 Rh 2.64
Cu (0.2500, 0.2500, 0.2500)  6 Ni 2.56-2.58, 4 Rh 2.57, 2 Cu 2.64



A relaxed structure of K2Ta4Os. Source: Alexandria, functional PBE-GGA.

energy of formation: 1.726 eV per atom
density: 7238 kg/m³

Unit cell a=4.9755 b=4.9755 c=9.8448 alpha=75.36 beta=75.36 gamma=90.00
Last column: nearest neighbours and their distance in Å.
Fractional coordinates of all 7 atoms:
K (0.6628, 0.6628, 0.6744)  9 Ta 3.58-3.89
K (0.3372, 0.3372, 0.3256)  9 Ta 3.58-3.89
Os (0.0000, 0.0000, 0.0000)  6 Ta 2.32-2.49
Ta (0.8736, 0.8736, 0.2528)  1 Os 2.32
Ta (0.1264, 0.1264, 0.7472)  1 Os 2.32
Ta (0.0000, 0.5000, 0.0000)  2 Os 2.49
Ta (0.5000, 0.0000, 0.0000)  2 Os 2.49